Here is an optimized crystal structure of Ta3ReHg from Alexandria via LeMat-Bulk. Energies are from PBE-GGA.

## Properties
**Total moment**: 0.00 μB per formula unit
**ΔH_f (0 K)**: 1.2308 eV per atom
**Crystal system**: cubic
**ΔE to the lowest computed polymorph**: 0.0 meV per atom

a = 4.863 Å, b = 4.863 Å, c = 4.863 Å
α = 90.00°, β = 90.00°, γ = 90.00°
Space group Pm-3m (No. 221)
Inequivalent atoms, fractional coordinates:
Ta: 0.000 0.000 0.500 [3 per cell]
Re: 0.000 0.000 0.000 [1 per cell]
Hg: 0.500 0.500 0.500 [1 per cell]